Density functional theory data (GGA-PBE) for a relaxed structure of LiTe2IBr.

Output
Spin magnetization (μB/cell): 1.59
E_form (uncorrected) (meV/atom): 293
Excess energy over the best structure of this formula in the dataset (meV/atom): 155.9

Cell and atoms, written as CIF:
```
data_LiTe2IBr
_space_group_name_H-M_alt 'P 4/m m m'
_space_group_IT_number 123
_space_group_name_Hall '-P 4 2'
_cell_length_a 5.4745
_cell_length_b 5.4745
_cell_length_c 8.1058
_cell_angle_alpha 90.00
_cell_angle_beta 90.00
_cell_angle_gamma 90.00
loop_
_atom_site_label
_atom_site_type_symbol
_atom_site_fract_x
_atom_site_fract_y
_atom_site_fract_z
Li1 Li 0.0000 0.0000 0.0000
Te1 Te 0.0000 0.5000 0.5000
I1 I 0.5000 0.5000 0.0000
Br1 Br 0.5000 0.5000 0.5000
```